This record from Alexandria describes crystalline SbMoO4 at its relaxed geometry. The functional is PBE+U.

Properties
Energy = -79.143 eV per cell
Crystal system = orthorhombic
Calculated volume = 79.9 Å³/f.u.
Energy above the lowest structure with this stoichiometry = 0.119 eV per atom
M_tot = 2.0 μB/cell

CIF file:
```
data_SbMoO4
_chemical_formula_sum 'Sb2 Mo2 O8'
_symmetry_space_group_name_H-M 'P n c 2'
_symmetry_Int_Tables_number 30
_cell_length_a 5.3219
_cell_length_b 5.2505
_cell_length_c 5.7197
_cell_angle_alpha 90.00
_cell_angle_beta 90.00
_cell_angle_gamma 90.00
loop_
_symmetry_equiv_pos_as_xyz
'x,y,z'
'-x,-y,z'
'-x,y+1/2,z+1/2'
'x,-y+1/2,z+1/2'
loop_
_atom_site_label
_atom_site_type_symbol
_atom_site_fract_x
_atom_site_fract_y
_atom_site_fract_z
Sb1 Sb 0.0000 0.0000 0.0000
Mo1 Mo 0.5000 0.0000 0.6335
O1 O 0.1958 0.1726 0.7128
O2 O 0.3478 0.7504 0.4120
```